Record 1
# Li4CeGd

Crystalline Li4CeGd at its relaxed geometry (GGA-PBE, the Alexandria database).

Properties
Crystal system: cubic
Final energy (eV for the cell shown): -26.6
Space-group type: F-43m (216)

Unit cell a=5.8616 b=5.8616 c=5.8616 alpha=60.00 beta=60.00 gamma=60.00
Element x y z (fractional)
Li 0.3763 0.3763 0.3763
Li 0.3763 0.3763 0.8710
Li 0.3763 0.8710 0.3763
Li 0.8710 0.3763 0.3763
Ce 0.0000 0.0000 0.0000
Gd 0.7500 0.7500 0.7500

***

Record 2
# YZrIr

Crystalline YZrIr at its relaxed geometry (GGA-PBE, the Alexandria database).

Properties
Crystal system: cubic
Final energy (eV for the cell shown): -25.4
Distance to the lowest polymorph of the same formula (eV/atom): 0.174
Space-group type: F-43m (216)

Unit cell a=4.6885 b=4.6885 c=4.6885 alpha=60.00 beta=60.00 gamma=60.00
Element x y z (fractional)
Y 0.0000 0.0000 0.0000
Zr 0.5000 0.5000 0.5000
Ir 0.7500 0.7500 0.7500

***

Record 3
# PmDyNiPb

Crystalline PmDyNiPb at its relaxed geometry (GGA-PBE, the Alexandria database).

Properties
Crystal system: cubic
Final energy (eV for the cell shown): -20.0
Space-group type: F-43m (216)

Unit cell a=5.2230 b=5.2230 c=5.2230 alpha=60.00 beta=60.00 gamma=60.00
Element x y z (fractional)
Pm 0.0000 0.0000 0.0000
Dy 0.5000 0.5000 0.5000
Ni 0.7500 0.7500 0.7500
Pb 0.2500 0.2500 0.2500